# 1
First-principles (GGA-PBE) data for ErAsHRh after structural relaxation, as listed in Alexandria via LeMat-Bulk.

The structure belongs to space group P4/nmm (No. 129, origin choice 2); the cell edges are 4.006, 4.006 and 7.224 Å and the angles 90.00°, 90.00° and 90.00°. Symmetry generates all atoms from Er at (0.250, 0.250, 0.156), As at (0.250, 0.250, 0.710), H at (0.250, 0.750, 0.000) and Rh at (0.250, 0.750, 0.500).

The calculation puts the uncorrected energy at -5.85 eV/atom. The calculation puts the spin magnetization at 0.00 μB per formula unit.

---

# 2
First-principles (GGA-PBE) data for Er5Tm2Sc2 after structural relaxation, as listed in Alexandria via LeMat-Bulk.

The structure belongs to space group Imma (No. 74); the cell edges are 5.426, 20.105 and 9.752 Å and the angles 90.00°, 90.00° and 90.00°. Symmetry generates all atoms from Er at (0.000, 0.110, 0.140), Er at (0.000, 0.163, 0.630), Er at (0.000, 0.250, 0.947), Tm at (0.000, 0.000, 0.500), Tm at (0.000, 0.250, 0.338) and Sc at (0.000, 0.049, 0.839).

For the energy above the lowest structure with this stoichiometry, the calculation gives 87.5 meV/atom. The calculation puts the uncorrected energy at -4.81 eV/atom. The calculation puts the spin magnetization at 0.00 μB per formula unit. The calculation puts the formation energy at 0.128 eV/atom.

---

# 3
First-principles (GGA-PBE) data for YPuZnTc after structural relaxation, as listed in Alexandria via LeMat-Bulk.

The structure belongs to space group F-43m (No. 216); the cell edges are 6.956, 6.956 and 6.956 Å and the angles 90.00°, 90.00° and 90.00°. Symmetry generates all atoms from Y at (0.000, 0.000, 0.000), Pu at (0.000, 0.000, 0.500), Zn at (0.250, 0.250, 0.750) and Tc at (0.250, 0.250, 0.250).

The calculation puts the uncorrected energy at -8.10 eV/atom. The calculation puts the spin magnetization at 5.17 μB per formula unit. The calculation puts the formation energy at 0.007 eV/atom.

---

# 4
First-principles (GGA-PBE) data for CaPm5Y3 after structural relaxation, as listed in Alexandria via LeMat-Bulk.

The structure belongs to space group Cmcm (No. 63); the cell edges are 17.262, 9.960 and 7.145 Å and the angles 90.00°, 90.00° and 90.00°. Symmetry generates all atoms from Ca at (0.000, 0.183, 0.250), Pm at (0.000, 0.159, 0.750), Pm at (0.155, 0.349, 0.750), Pm at (0.182, 0.322, 0.250), Y at (0.000, 0.500, 0.000) and Y at (0.167, 0.000, 0.000).

The calculation puts the uncorrected energy at -4.95 eV/atom. The calculation puts the spin magnetization at 0.00 μB per formula unit. The calculation puts the formation energy at 0.068 eV/atom.

---

# 5
First-principles (GGA-PBE) data for YZr2Tc after structural relaxation, as listed in Alexandria via LeMat-Bulk.

The structure belongs to space group P2/m (No. 10); the cell edges are 3.304, 4.514 and 6.105 Å and the angles 90.00°, 103.66° and 90.00°. Symmetry generates all atoms from Y at (0.000, 0.000, 0.000), Zr at (0.318, 0.500, 0.714) and Tc at (0.500, 0.000, 0.500).

For the energy above the lowest structure with this stoichiometry, the calculation gives 149.8 meV/atom. The calculation puts the uncorrected energy at -8.46 eV/atom. The calculation puts the spin magnetization at 0.00 μB per formula unit. The calculation puts the formation energy at 0.023 eV/atom.

---

# 6
First-principles (GGA-PBE) data for CrAgSb2 after structural relaxation, as listed in Alexandria via LeMat-Bulk.

The structure belongs to space group P4/mmm (No. 123); the cell edges are 3.369, 3.369 and 7.577 Å and the angles 90.00°, 90.00° and 90.00°. Symmetry generates all atoms from Cr at (0.000, 0.000, 0.000), Ag at (0.000, 0.000, 0.500) and Sb at (0.500, 0.500, 0.220).

For the energy above the lowest structure with this stoichiometry, the calculation gives 61.4 meV/atom. The calculation puts the uncorrected energy at -4.91 eV/atom. Its uncorrected formation energy is 103 kJ/mol of formula units. The calculation puts the spin magnetization at 3.14 μB per formula unit.

---

# 7
First-principles (GGA-PBE) data for Ac2Al5Ga3 after structural relaxation, as listed in Alexandria via LeMat-Bulk.

The structure belongs to space group P-4m2 (No. 115); the cell edges are 4.447, 4.447 and 11.187 Å and the angles 90.00°, 90.00° and 90.00°. Symmetry generates all atoms from Ac at (0.000, 0.500, 0.249), Al at (0.000, 0.000, 0.000), Al at (0.000, 0.000, 0.500), Al at (0.000, 0.500, 0.866), Al at (0.500, 0.500, 0.000), Ga at (0.000, 0.500, 0.632) and Ga at (0.500, 0.500, 0.500).

For the energy above the lowest structure with this stoichiometry, the calculation gives 17.8 meV/atom. The calculation puts the uncorrected energy at -3.99 eV/atom. The calculation puts the spin magnetization at 0.00 μB per formula unit. The calculation puts the formation energy at -0.388 eV/atom.

---

# 8
First-principles (GGA-PBE) data for Sm3Y4Th after structural relaxation, as listed in Alexandria via LeMat-Bulk.

The structure belongs to space group C2/m (No. 12); the cell edges are 23.535, 3.469 and 6.826 Å and the angles 90.00°, 106.75° and 90.00°. Symmetry generates all atoms from Sm at (0.000, 0.000, 0.000), Sm at (0.123, 0.000, 0.863), Y at (0.124, 0.000, 0.387), Y at (0.242, 0.500, 0.742) and Th at (0.000, 0.500, 0.500).

For the energy above the lowest structure with this stoichiometry, the calculation gives 0.0 meV/atom. The calculation puts the uncorrected energy at -5.77 eV/atom. The calculation puts the spin magnetization at 0.00 μB per formula unit. The calculation puts the formation energy at 0.162 eV/atom.

---

# 9
First-principles (GGA-PBE) data for CrTc2Ir after structural relaxation, as listed in Alexandria via LeMat-Bulk.

The structure belongs to space group P4mm (No. 99); the cell edges are 2.711, 2.711 and 7.576 Å and the angles 90.00°, 90.00° and 90.00°. Symmetry generates all atoms from Cr at (0.000, 0.000, 0.000), Tc at (0.000, 0.000, 0.501), Tc at (0.500, 0.500, 0.756) and Ir at (0.500, 0.500, 0.234).

For the energy above the lowest structure with this stoichiometry, the calculation gives 33.6 meV/atom. The calculation puts the uncorrected energy at -9.82 eV/atom. The calculation puts the spin magnetization at 0.00 μB per formula unit. The calculation puts the formation energy at -0.017 eV/atom.

---

# 10
First-principles (GGA-PBE) data for La3Dy2Rh2 after structural relaxation, as listed in Alexandria via LeMat-Bulk.

The structure belongs to space group P-1 (No. 2); the cell edges are 3.951, 6.565 and 8.515 Å and the angles 72.59°, 89.91° and 72.55°. Symmetry generates all atoms from La at (0.000, 0.000, 0.000), La at (0.130, 0.745, 0.437), Dy at (0.324, 0.352, 0.183) and Rh at (0.335, 0.331, 0.829).

The calculation puts the uncorrected energy at -6.02 eV/atom. The calculation puts the spin magnetization at 0.00 μB per formula unit. The calculation puts the formation energy at -0.495 eV/atom.

---

# 11
First-principles (GGA-PBE) data for NbCuPtAu after structural relaxation, as listed in Alexandria via LeMat-Bulk.

The structure belongs to space group F-43m (No. 216); the cell edges are 6.379, 6.379 and 6.379 Å and the angles 90.00°, 90.00° and 90.00°. Symmetry generates all atoms from Nb at (0.000, 0.000, 0.000), Cu at (0.000, 0.000, 0.500), Pt at (0.250, 0.250, 0.250) and Au at (0.250, 0.250, 0.750).

The calculation puts the uncorrected energy at -6.04 eV/atom. The calculation puts the spin magnetization at 0.00 μB per formula unit. The calculation puts the formation energy at -0.167 eV/atom.

---

# 12
First-principles (GGA-PBE) data for La4SnN2 after structural relaxation, as listed in Alexandria via LeMat-Bulk.

The structure belongs to space group Cmcm (No. 63); the cell edges are 3.935, 12.965 and 13.501 Å and the angles 90.00°, 90.00° and 90.00°. Symmetry generates all atoms from La at (0.000, 0.000, 0.000), La at (0.000, 0.261, 0.101), La at (0.000, 0.410, 0.750), Sn at (0.000, 0.104, 0.750) and N at (0.000, 0.361, 0.558).

For the energy above the lowest structure with this stoichiometry, the calculation gives 0.0 meV/atom. The calculation puts the uncorrected energy at -6.74 eV/atom. Its uncorrected formation energy is -657 kJ/mol of formula units. The calculation puts the spin magnetization at 0.25 μB per formula unit.